MnAuCl2 | Alexandria | meta-GGA SCAN | PBEsol geometry; DOS at the Fermi energy = 0.262 states/eV/cell; uncorrected formation energy = -0.519 eV/atom; symmetry = Cmmm
1.0
-2.6239 -1.2360 -1.1639
1.4151 -1.7247 2.1887
-5.0300 4.3716 6.6970
Mn Au Cl
1 1 2
direct
0.5000 0.5000 0.5000 Mn
0.5000 0.5000 0.0000 Au
0.0000 0.0000 0.3240 Cl
0.0000 0.0000 0.6760 Cl

FeSb | Alexandria | meta-GGA SCAN | PBEsol geometry; DOS at the Fermi energy = 2.533 states/eV/cell; uncorrected formation energy = 0.071 eV/atom; symmetry = P4/nmm
1.0
-2.7744 0.8344 -1.1648
-1.2869 -0.3348 2.8253
1.5068 7.1512 1.5338
Fe Sb
2 2
direct
0.5000 0.0000 0.0766 Fe
0.0000 0.5000 0.9234 Fe
0.5000 0.0000 0.7058 Sb
0.0000 0.5000 0.2942 Sb

CaHg2Bi | Alexandria | meta-GGA SCAN | PBEsol geometry; DOS at the Fermi energy = 2.306 states/eV/cell; symmetry = I-42d; ΔE_f = -0.39 eV/atom
1.0
4.5037 0.0000 0.0000
0.0000 4.5037 0.0000
-2.2518 -2.2518 11.0514
Ca Bi Hg
2 2 4
direct
0.7500 0.2500 0.5000 Ca
0.5000 0.5000 0.0000 Ca
0.2500 0.7500 0.5000 Bi
0.0000 0.0000 0.0000 Bi
0.3716 0.8750 0.2500 Hg
0.8784 0.3750 0.2500 Hg
0.1250 0.1216 0.7500 Hg
0.6250 0.6284 0.7500 Hg

LaTaCo2 | Alexandria | meta-GGA SCAN | PBEsol geometry; DOS at the Fermi energy = 4.931 states/eV/cell; symmetry = R3m; ΔE_f = 0.18 eV/atom
1.0
-3.2494 1.5401 1.8681
-2.2178 -2.3334 2.4611
1.2763 1.2009 5.6247
La Co Ta
1 2 1
direct
0.4920 0.4920 0.5240 La
0.0160 0.0160 0.9520 Co
0.6917 0.6917 0.9249 Co
0.3003 0.3003 0.0991 Ta

GeAsW | Alexandria | meta-GGA SCAN | PBEsol geometry; DOS at the Fermi energy = 0.787 states/eV/cell; symmetry = C2/m; ΔE_f = -0.01 eV/atom
1.0
3.2641 0.0000 0.0000
1.6320 4.6136 0.0031
1.6320 0.7835 6.6123
As Ge W
2 2 2
direct
0.1437 0.2467 0.4660 As
0.8563 0.7533 0.5340 As
0.6043 0.6868 0.1045 Ge
0.3957 0.3132 0.8955 Ge
0.8461 0.1080 0.1998 W
0.1539 0.8920 0.8002 W

LaY2Mg | Alexandria | meta-GGA SCAN | PBEsol geometry; DOS at the Fermi energy = 4.335 states/eV/cell; symmetry = Imm2; ΔE_f = -0.02 eV/atom
1.0
-3.0125 2.2874 -0.3584
-3.3203 -4.3600 0.0821
2.7859 1.4341 5.8754
Y Mg La
2 1 1
direct
0.9768 0.9768 0.9537 Y
0.7451 0.2451 0.4902 Y
0.2561 0.7561 0.5122 Mg
0.5219 0.5219 0.0439 La

RbPbS3 | Alexandria | meta-GGA SCAN | PBEsol geometry; DOS at the Fermi energy = 3.664 states/eV/cell; uncorrected formation energy = 0.912 eV/atom; symmetry = Pm-3m
1.0
5.2237 0.0000 0.0000
0.0000 5.2237 0.0000
0.0000 0.0000 5.2237
Pb S Rb
1 3 1
direct
0.5000 0.5000 0.5000 Pb
0.0000 0.5000 0.0000 S
0.0000 0.0000 0.5000 S
0.5000 0.0000 0.0000 S
0.0000 0.0000 0.0000 Rb

MnAsCl2 | Alexandria | meta-GGA SCAN | PBEsol geometry; DOS at the Fermi energy = 2.143 states/eV/cell; uncorrected formation energy = 0.081 eV/atom; symmetry = Cmmm
1.0
3.0625 0.0000 0.0000
0.0000 4.9530 0.0650
0.0000 -1.2236 4.7999
As Mn Cl
1 1 2
direct
0.5000 0.5000 0.5000 As
0.5000 0.0000 0.0000 Mn
0.0000 0.5000 0.0000 Cl
0.0000 0.0000 0.5000 Cl